This record from Alexandria via LeMat-Bulk describes crystalline Ni6Ag4F19 at its relaxed geometry. The functional is GGA+U.

Properties
M_tot   0.306 μB/atom
Space-group type   No. 197
Volume   13.368 Å³/atom
Energy   -3.832 eV/atom

a b c (Å): 7.956 7.956 7.956
angles (deg): 109.47 109.47 109.47
Sites, in units of the cell vectors:
1 F 0.038 0.295 0.681
2 F 0.000 0.348 0.348
3 F 0.348 0.348 0.000
4 F 0.962 0.642 0.256
5 F 0.642 0.256 0.962
6 F 0.652 0.652 0.000
7 F 0.256 0.962 0.642
8 F 0.358 0.319 0.614
9 F 0.319 0.614 0.358
10 F 0.681 0.038 0.295
11 F 0.348 0.000 0.348
12 F 0.614 0.358 0.319
13 F 0.652 0.000 0.652
14 F 0.000 0.652 0.652
15 F 0.744 0.386 0.705
16 F 0.386 0.705 0.744
17 F 0.000 0.000 0.000
18 F 0.705 0.744 0.386
19 F 0.295 0.681 0.038
20 Ag 0.298 0.298 0.298
21 Ag 0.702 0.000 0.000
22 Ag 0.000 0.702 0.000
23 Ag 0.000 0.000 0.702
24 Ni 0.500 0.839 0.339
25 Ni 0.661 0.500 0.161
26 Ni 0.500 0.161 0.661
27 Ni 0.339 0.500 0.839
28 Ni 0.161 0.661 0.500
29 Ni 0.839 0.339 0.500